1.
{"formula": "Ho3Tm3Tl2Rh", "functional": "PBE", "state": "optimized geometry", "volume_a3_per_atom": 27.078, "space_group": "P-62m", "dos_ef_per_ev_cell": 10.203, "total_energy_ry_per_atom": -0.3510, "cell": [[-1.5569, 3.4540, -0.2631], [-7.8056, -3.4276, 1.1921], [4.6360, 2.6054, 6.7687]], "species": ["Ho", "Ho", "Ho", "Tm", "Tm", "Tm", "Tl", "Tl", "Rh"], "frac_coords": [[0.0000, 0.6062, 0.6062], [0.0000, 0.0000, 0.3938], [0.0000, 0.3938, 0.0000], [0.5000, 0.7610, 0.0000], [0.5000, 0.0000, 0.7610], [0.5000, 0.2390, 0.2390], [0.5000, 0.6667, 0.3333], [0.5000, 0.3333, 0.6667], [0.0000, 0.0000, 0.0000]]}



2.
{"formula": "KZnCu2Cl8", "functional": "PBE", "state": "optimized geometry", "volume_a3_per_atom": 25.455, "space_group": "P-3", "dos_ef_per_ev_cell": 10.647, "total_energy_ry_per_atom": -0.2102, "cell": [[6.3415, 0.0003, 0.0000], [-3.1710, 5.4917, 0.0000], [0.0000, 0.0000, 8.7710]], "species": ["K", "Zn", "Cu", "Cu", "Cl", "Cl", "Cl", "Cl", "Cl", "Cl", "Cl", "Cl"], "frac_coords": [[0.0000, 0.0000, 0.0000], [0.0000, 0.0000, 0.5000], [0.6667, 0.3333, 0.2753], [0.3333, 0.6667, 0.7247], [0.3333, 0.6667, 0.9762], [0.3111, 0.3135, 0.3309], [0.6865, 0.9976, 0.3309], [0.6667, 0.3333, 0.0238], [0.3135, 0.0024, 0.6691], [0.6889, 0.6865, 0.6691], [0.9976, 0.3111, 0.6691], [0.0024, 0.6889, 0.3309]]}



3.
{"formula": "Bi5Te12Pb3", "functional": "PBE", "state": "optimized geometry", "volume_a3_per_atom": 40.345, "space_group": "Ia-3d", "dos_ef_per_ev_cell": 44.255, "total_energy_ry_per_atom": -0.2564, "cell": [[16.1250, 0.0000, 0.0000], [-5.3750, 15.2028, 0.0000], [-5.3750, -7.6014, 13.1660]], "species": ["Pb", "Pb", "Pb", "Pb", "Pb", "Pb", "Pb", "Pb", "Pb", "Pb", "Pb", "Pb", "Bi", "Bi", "Bi", "Bi", "Bi", "Bi", "Bi", "Bi", "Bi", "Bi", "Bi", "Bi", "Bi", "Bi", "Bi", "Bi", "Bi", "Bi", "Bi", "Bi", "Te", "Te", "Te", "Te", "Te", "Te", "Te", "Te", "Te", "Te", "Te", "Te", "Te", "Te", "Te", "Te", "Te", "Te", "Te", "Te", "Te", "Te", "Te", "Te", "Te", "Te", "Te", "Te", "Te", "Te", "Te", "Te", "Te", "Te", "Te", "Te", "Te", "Te", "Te", "Te", "Te", "Te", "Te", "Te", "Te", "Te", "Te", "Te"], "frac_coords": [[0.7500, 0.3750, 0.1250], [0.8750, 0.7500, 0.1250], [0.3750, 0.7500, 0.6250], [0.2500, 0.1250, 0.3750], [0.8750, 0.1250, 0.2500], [0.3750, 0.6250, 0.2500], [0.6250, 0.3750, 0.7500], [0.1250, 0.8750, 0.7500], [0.7500, 0.8750, 0.6250], [0.6250, 0.2500, 0.3750], [0.1250, 0.2500, 0.8750], [0.2500, 0.6250, 0.8750], [0.1250, 0.3750, 0.2500], [0.0000, 0.5000, 0.0000], [0.0000, 0.0000, 0.0000], [0.3750, 0.2500, 0.1250], [0.5000, 0.0000, 0.5000], [0.5000, 0.5000, 0.0000], [0.1250, 0.7500, 0.3750], [0.7500, 0.1250, 0.8750], [0.7500, 0.6250, 0.3750], [0.3750, 0.1250, 0.7500], [0.6250, 0.8750, 0.2500], [0.5000, 0.5000, 0.5000], [0.5000, 0.0000, 0.0000], [0.0000, 0.0000, 0.5000], [0.2500, 0.3750, 0.6250], [0.2500, 0.8750, 0.1250], [0.0000, 0.5000, 0.5000], [0.8750, 0.2500, 0.6250], [0.6250, 0.7500, 0.8750], [0.8750, 0.6250, 0.7500], [0.7208, 0.1342, 0.0508], [0.3300, 0.5508, 0.4167], [0.9492, 0.3658, 0.2792], [0.5508, 0.2208, 0.1342], [0.5867, 0.7208, 0.6700], [0.9492, 0.5833, 0.1700], [0.3300, 0.7792, 0.4133], [0.0833, 0.9133, 0.1342], [0.5833, 0.9492, 0.6700], [0.7208, 0.5867, 0.1700], [0.7792, 0.4492, 0.3658], [0.8300, 0.9167, 0.0508], [0.1342, 0.7208, 0.5508], [0.3658, 0.4167, 0.0867], [0.0867, 0.9167, 0.3658], [0.4133, 0.1342, 0.5833], [0.0867, 0.1700, 0.2208], [0.4492, 0.6700, 0.0833], [0.8300, 0.9133, 0.2792], [0.1342, 0.4133, 0.0833], [0.3658, 0.9492, 0.7792], [0.5833, 0.6342, 0.4133], [0.9167, 0.8300, 0.5508], [0.7792, 0.3300, 0.9133], [0.4167, 0.3658, 0.5867], [0.0833, 0.1700, 0.4492], [0.2208, 0.6700, 0.0867], [0.1700, 0.0867, 0.7208], [0.6342, 0.0508, 0.2208], [0.8658, 0.5867, 0.9167], [0.5508, 0.3300, 0.9167], [0.5867, 0.8658, 0.4167], [0.9133, 0.8300, 0.7792], [0.9133, 0.0833, 0.6342], [0.8658, 0.2792, 0.4492], [0.1700, 0.0833, 0.9492], [0.6342, 0.5833, 0.9133], [0.4167, 0.0508, 0.3300], [0.2792, 0.4133, 0.8300], [0.2208, 0.5508, 0.6342], [0.9167, 0.0867, 0.8658], [0.6700, 0.2208, 0.5867], [0.4492, 0.7792, 0.8658], [0.0508, 0.4167, 0.8300], [0.4133, 0.2792, 0.3300], [0.0508, 0.6342, 0.7208], [0.6700, 0.4492, 0.5833], [0.2792, 0.8658, 0.9492]]}



4.
{"formula": "Er6Cu5Ag", "functional": "PBE", "state": "optimized geometry", "volume_a3_per_atom": 20.826, "space_group": "Cmmm", "dos_ef_per_ev_cell": 5.356, "total_energy_ry_per_atom": -0.3314, "cell": [[-4.6711, 0.1329, 1.5379], [-1.0579, -6.2570, -2.6725], [-0.3171, -3.0069, 7.1652]], "species": ["Ag", "Cu", "Cu", "Cu", "Cu", "Cu", "Er", "Er", "Er", "Er", "Er", "Er"], "frac_coords": [[0.0000, 0.0000, 0.0000], [0.6649, 0.5000, 0.6701], [0.3346, 0.0000, 0.3309], [0.0000, 0.5000, 0.0000], [0.6654, 0.0000, 0.6691], [0.3351, 0.5000, 0.3299], [0.8303, 0.7468, 0.3395], [0.8303, 0.2532, 0.3395], [0.5000, 0.2571, 0.0000], [0.5000, 0.7429, 0.0000], [0.1697, 0.7468, 0.6605], [0.1697, 0.2532, 0.6605]]}



5.
{"formula": "RbNa4Sn2", "functional": "PBE", "state": "optimized geometry", "volume_a3_per_atom": 36.547, "space_group": "Cmmm", "dos_ef_per_ev_cell": 2.684, "total_energy_ry_per_atom": -0.1584, "cell": [[5.7620, 0.0000, 0.0000], [0.0000, 5.7493, 0.0000], [0.0000, -2.8747, 7.7226]], "species": ["Rb", "Na", "Na", "Na", "Na", "Sn", "Sn"], "frac_coords": [[0.0000, 0.0000, 0.0000], [0.5000, 0.8146, 0.6291], [0.0000, 0.6729, 0.3457], [0.5000, 0.1854, 0.3709], [0.0000, 0.3271, 0.6543], [0.5000, 0.5920, 0.1839], [0.5000, 0.4080, 0.8161]]}



6.
{"formula": "MgPa2N4", "functional": "PBE", "state": "optimized geometry", "volume_a3_per_atom": 13.802, "space_group": "I-42d", "e_above_lowest_polymorph_ev_per_atom": 0.002, "dos_ef_per_ev_cell": 0.000, "total_energy_ry_per_atom": -0.6693, "cell": [[-5.7668, -0.5346, -2.5018], [2.7561, -5.6749, 0.0058], [-0.3340, 2.1125, 5.9352]], "species": ["Mg", "Mg", "Pa", "Pa", "Pa", "Pa", "N", "N", "N", "N", "N", "N", "N", "N"], "frac_coords": [[0.0000, 0.0000, 0.0000], [0.7500, 0.5000, 0.2500], [0.8750, 0.0624, 0.4374], [0.5626, 0.4376, 0.6250], [0.3750, 0.9376, 0.8126], [0.1874, 0.5624, 0.1250], [0.1141, 0.8364, 0.3993], [0.6007, 0.7147, 0.4370], [0.0277, 0.6636, 0.8130], [0.1870, 0.2147, 0.8507], [0.6359, 0.7853, 0.9723], [0.7223, 0.2853, 0.8859], [0.5630, 0.1636, 0.2777], [0.1493, 0.3364, 0.3641]]}



7.
{"formula": "HoTmInPb", "functional": "PBE", "state": "optimized geometry", "volume_a3_per_atom": 26.862, "space_group": "I-4m2", "e_above_lowest_polymorph_ev_per_atom": 0.000, "dos_ef_per_ev_cell": 2.907, "total_energy_ry_per_atom": -0.3150, "cell": [[-4.2076, 2.5835, -0.2679], [-2.5353, -3.9743, 1.4925], [3.8732, 1.9461, 3.5704]], "species": ["Ho", "Tm", "In", "Pb"], "frac_coords": [[0.2500, 0.7500, 0.5000], [0.7500, 0.2500, 0.5000], [0.0000, 0.0000, 0.0000], [0.5000, 0.5000, 0.0000]]}



8.
{"formula": "NpTlGeSe3", "functional": "PBE", "state": "optimized geometry", "volume_a3_per_atom": 29.954, "space_group": "P2_1/m", "dos_ef_per_ev_cell": 19.833, "total_energy_ry_per_atom": -0.4204, "cell": [[4.0914, 0.0000, 0.0000], [0.0000, 9.4853, 0.7887], [0.0000, -2.8575, 9.0246]], "species": ["Np", "Np", "Tl", "Tl", "Ge", "Ge", "Se", "Se", "Se", "Se", "Se", "Se"], "frac_coords": [[0.2500, 0.6458, 0.1650], [0.7500, 0.3542, 0.8350], [0.7500, 0.8122, 0.8067], [0.2500, 0.1878, 0.1933], [0.2500, 0.1244, 0.5438], [0.7500, 0.8756, 0.4562], [0.2500, 0.7068, 0.4747], [0.7500, 0.8654, 0.1827], [0.7500, 0.4306, 0.1468], [0.7500, 0.2932, 0.5253], [0.2500, 0.5694, 0.8532], [0.2500, 0.1346, 0.8173]]}



9.
{"formula": "Ca6Zn2Pd", "functional": "PBE", "state": "optimized geometry", "volume_a3_per_atom": 29.854, "space_group": "Immm", "dos_ef_per_ev_cell": 13.959, "total_energy_ry_per_atom": -0.1787, "cell": [[8.3490, 0.1614, -2.9965], [-4.3443, 7.2622, -2.6646], [-0.0458, -0.1614, 8.8704]], "species": ["Ca", "Ca", "Ca", "Ca", "Ca", "Ca", "Ca", "Ca", "Ca", "Ca", "Ca", "Ca", "Zn", "Zn", "Zn", "Zn", "Pd", "Pd"], "frac_coords": [[0.5748, 0.7458, 0.8291], [0.4252, 0.2542, 0.1709], [0.0833, 0.2542, 0.8291], [0.9167, 0.7458, 0.1709], [0.8113, 0.7368, 0.5481], [0.1887, 0.2632, 0.4519], [0.1887, 0.7368, 0.9256], [0.8113, 0.2632, 0.0744], [0.7027, 0.3710, 0.6683], [0.2973, 0.6290, 0.3317], [0.2973, 0.9656, 0.6683], [0.7027, 0.0344, 0.3317], [0.5000, 0.3806, 0.8806], [0.5000, 0.6194, 0.1194], [0.6582, 0.0000, 0.6582], [0.3418, 0.0000, 0.3418], [0.0000, 0.5000, 0.5000], [0.0000, 0.0000, 0.0000]]}



10.
{"formula": "Tb6Tl5Ru", "functional": "PBE", "state": "optimized geometry", "volume_a3_per_atom": 26.389, "space_group": "Immm", "dos_ef_per_ev_cell": 6.679, "total_energy_ry_per_atom": -0.3250, "cell": [[5.0751, 0.4737, -1.5211], [-1.5637, 6.7227, -3.1306], [-0.0522, -0.0390, 9.1179]], "species": ["Ru", "Tl", "Tl", "Tl", "Tl", "Tl", "Tb", "Tb", "Tb", "Tb", "Tb", "Tb"], "frac_coords": [[0.0000, 0.0000, 0.0000], [0.3184, 0.8184, 0.6369], [0.6641, 0.6641, 0.3283], [0.0000, 0.5000, 0.0000], [0.3359, 0.3359, 0.6717], [0.6816, 0.1816, 0.3631], [0.1531, 0.3834, 0.3060], [0.1529, 0.9226, 0.3060], [0.5004, 0.2243, 0.0000], [0.4996, 0.7757, 0.0000], [0.8471, 0.0774, 0.6940], [0.8469, 0.6166, 0.6940]]}



11.
{"formula": "Li3Pa3PdSe8", "functional": "PBE", "state": "optimized geometry", "volume_a3_per_atom": 24.041, "space_group": "C2/m", "dos_ef_per_ev_cell": 21.397, "total_energy_ry_per_atom": -0.4133, "cell": [[7.9734, 0.0000, 0.0000], [-3.9867, 6.8895, -0.0264], [0.0000, -4.5705, 6.5821]], "species": ["Li", "Li", "Li", "Pa", "Pa", "Pa", "Pd", "Se", "Se", "Se", "Se", "Se", "Se", "Se", "Se"], "frac_coords": [[0.0000, 0.0000, 0.0000], [0.0000, 0.5000, 0.0000], [0.5000, 0.5000, 0.0000], [0.5000, 0.0000, 0.5000], [0.5000, 0.5000, 0.5000], [0.0000, 0.5000, 0.5000], [0.0000, 0.0000, 0.5000], [0.2442, 0.4885, 0.2333], [0.7558, 0.5115, 0.7667], [0.7531, 0.5062, 0.2519], [0.2469, 0.4938, 0.7481], [0.7515, 0.9987, 0.2506], [0.2485, 0.0013, 0.7494], [0.2472, 0.9987, 0.2506], [0.7528, 0.0013, 0.7494]]}



12.
{"formula": "LaCd5Pt3", "functional": "PBE", "state": "optimized geometry", "volume_a3_per_atom": 22.208, "space_group": "Cmcm", "dos_ef_per_ev_cell": 6.105, "total_energy_ry_per_atom": -0.2566, "cell": [[-3.6719, -0.1147, 1.7373], [3.0776, -6.8815, 1.2976], [5.2551, 4.5007, 11.4044]], "species": ["La", "La", "Cd", "Cd", "Cd", "Cd", "Cd", "Cd", "Cd", "Cd", "Cd", "Cd", "Pt", "Pt", "Pt", "Pt", "Pt", "Pt"], "frac_coords": [[0.8297, 0.6595, 0.7500], [0.1703, 0.3405, 0.2500], [0.8030, 0.6060, 0.4518], [0.1970, 0.3940, 0.9518], [0.0000, 0.0000, 0.5000], [0.0000, 0.0000, 0.0000], [0.4349, 0.8698, 0.1449], [0.5651, 0.1302, 0.8551], [0.5651, 0.1302, 0.6449], [0.8030, 0.6060, 0.0482], [0.1970, 0.3940, 0.5482], [0.4349, 0.8698, 0.3551], [0.3836, 0.7673, 0.9196], [0.8360, 0.6720, 0.2500], [0.3836, 0.7673, 0.5804], [0.6163, 0.2327, 0.4196], [0.1640, 0.3280, 0.7500], [0.6163, 0.2327, 0.0804]]}